(one)
The following is a DFT calculation (GGA-PBE) of a geometry-optimized Cu4Ag structure.

a = 4.568 Å, b = 6.958 Å, c = 9.202 Å
α = 102.93°, β = 99.46°, γ = 108.50°
Space group P1 (No. 1)
Unique sites:
Cu 0.000 0.000 0.000
Cu 0.000 0.483 0.729
Cu 0.013 0.004 0.494
Cu 0.021 0.495 0.258
Cu 0.203 0.195 0.786
Cu 0.205 0.693 0.540
Cu 0.214 0.188 0.299
Cu 0.396 0.387 0.581
Cu 0.408 0.912 0.849
Cu 0.419 0.901 0.358
Cu 0.597 0.104 0.642
Cu 0.611 0.595 0.396
Cu 0.635 0.098 0.154
Cu 0.806 0.294 0.443
Cu 0.811 0.282 0.935
Cu 0.822 0.807 0.214
Ag 0.210 0.706 0.055
Ag 0.420 0.385 0.100
Ag 0.599 0.589 0.886
Ag 0.808 0.803 0.690

## Properties
Density (g cm⁻³): 9.199

=====

(two)
The following is a DFT calculation (GGA-PBE) of a geometry-optimized Cu4Ag structure.

a = 2.715 Å, b = 2.715 Å, c = 17.646 Å
α = 90.00°, β = 90.00°, γ = 90.00°
Space group P4/mmm (No. 123)
Unique sites:
Cu 0.000 0.000 0.000
Cu 0.000 0.000 0.185
Cu 0.500 0.500 0.092
Cu 0.500 0.500 0.277
Cu 0.500 0.500 0.500
Ag 0.000 0.000 0.389

## Properties
Density (g cm⁻³): 9.244

=====

Relative energy of each structure, in kJ/mol of atoms: (one) 0.9; (two) 0.0.

=====

(one)
The following is a DFT calculation (GGA-PBE) of a geometry-optimized Cu4Ag structure.

a = 8.728 Å, b = 2.677 Å, c = 6.460 Å
α = 90.00°, β = 120.34°, γ = 90.00°
Space group C2/m (No. 12)
Unique sites:
Cu 0.106 0.000 0.415
Cu 0.191 0.500 0.789
Ag 0.000 0.500 0.000

## Properties
Density (g cm⁻³): 9.231

=====

(two)
The following is a DFT calculation (GGA-PBE) of a geometry-optimized Cu4Ag structure.

a = 4.523 Å, b = 4.599 Å, c = 6.986 Å
α = 107.67°, β = 101.92°, γ = 100.76°
Space group P-1 (No. 2)
Unique sites:
Cu 0.030 0.082 0.330
Cu 0.143 0.295 0.045
Cu 0.269 0.507 0.771
Cu 0.443 0.901 0.140
Ag 0.330 0.692 0.446

## Properties
Density (g cm⁻³): 9.211

=====

(three)
The following is a DFT calculation (GGA-PBE) of a geometry-optimized Cu4Ag structure.

a = 2.6636 Å, b = 2.6636 Å, c = 32.0811 Å
α = 90.00°, β = 90.00°, γ = 120.00°
Space group R-3m (No. 166, hexagonal axes)
Unique sites:
Cu 0.0000 0.0000 0.0948
Cu 0.0000 0.0000 0.3016
Ag 0.0000 0.0000 0.5000

## Properties
Density (g cm⁻³): 9.150

=====

Relative energy of each structure, in kJ/mol of atoms: (one) 0.6; (two) 0.0; (three) 1.9.

=====

(one)
The following is a DFT calculation (GGA-PBE) of a geometry-optimized Pr2Ho2CI2Cl3 structure.

a = 18.005 Å, b = 3.869 Å, c = 8.100 Å
α = 90.00°, β = 101.21°, γ = 90.00°
Space group C2/m (No. 12)
Unique sites:
Pr 0.143 0.000 0.064
Ho 0.003 0.500 0.797
C 0.000 0.000 0.000
I 0.164 0.500 0.372
Cl 0.000 0.000 0.500
Cl 0.160 0.500 0.813

## Properties
Density (g cm⁻³): 5.904
Total moment (μB per formula unit): 0.11

=====

(two)
The following is a DFT calculation (GGA-PBE) of a geometry-optimized Pr2Ho2CI2Cl3 structure.

a = 18.677 Å, b = 3.917 Å, c = 8.203 Å
α = 90.00°, β = 101.10°, γ = 90.00°
Space group C2/m (No. 12)
Unique sites:
Pr 0.001 0.000 0.285
Ho 0.131 0.500 0.566
C 0.000 0.500 0.500
I 0.176 0.000 0.314
Cl 0.000 0.500 0.000
Cl 0.156 0.000 0.800

## Properties
Density (g cm⁻³): 5.549
Total moment (μB per formula unit): 0.01

=====

Relative energy of each structure, in kJ/mol of atoms: (one) 4.0; (two) 0.0.

=====

(one)
The following is a DFT calculation (GGA-PBE) of a geometry-optimized Co structure.

a = 7.8284 Å, b = 7.8284 Å, c = 9.4996 Å
α = 90.00°, β = 90.00°, γ = 120.00°
Space group P6_3mc (No. 186)
Unique sites:
Co 0.0000 0.0000 0.0000
Co 0.0000 0.0000 0.2454
Co 0.0292 0.5146 0.7532
Co 0.0309 0.5154 0.4965
Co 0.1579 0.3157 0.6239
Co 0.1653 0.3306 0.8883
Co 0.1656 0.3312 0.3594
Co 0.2246 0.4492 0.1238
Co 0.3333 0.6667 0.3386
Co 0.3333 0.6667 0.6259
Co 0.3333 0.6667 0.9084

## Properties
Density (g cm⁻³): 8.929
Total moment (μB per formula unit): 1.64

=====

(two)
The following is a DFT calculation (GGA-PBE) of a geometry-optimized Co structure.

a = 8.537 Å, b = 8.537 Å, c = 4.499 Å
α = 90.00°, β = 90.00°, γ = 90.00°
Space group P4_2/mnm (No. 136)
Unique sites:
Co 0.000 0.000 0.000
Co 0.038 0.366 0.500
Co 0.066 0.263 0.000
Co 0.098 0.098 0.500
Co 0.182 0.818 0.251

## Properties
Density (g cm⁻³): 8.953
Total moment (μB per formula unit): 1.66

=====

Relative energy of each structure, in kJ/mol of atoms: (one) 2.6; (two) 0.0.